NiIO2F: relaxed, PBE with a Hubbard U.

Cell: 3.7005 3.7005 6.2240 Å, 90.00 90.00 90.00°
Last column: nearest neighbours and their distance in Å.
Fractional positions:
Ni  0.0000  0.0000  0.0000  4 O 1.85
I  0.0000  0.0000  0.5000  4 F 2.62
O  0.0000  0.5000  0.0000  2 Ni 1.85
O  0.5000  0.0000  0.0000  2 Ni 1.85
F  0.5000  0.5000  0.5000  4 I 2.62

total DFT energy (no corrections) = -3.142 eV/atom
Fermi-level density of states = 0.9990 states/eV per atom
SG = P4/mmm